Entry 1:
Compound: BaCaMn2
Source: the Alexandria database
Functional: PBE-GGA
Structure: optimized geometry

Excess energy over the best structure of this formula in the dataset in meV/atom: 287.2

Unit cell a=7.8065 b=7.8065 c=7.8065 alpha=90.00 beta=90.00 gamma=90.00
With the nearest neighbours (Å) after each atom.
Space group Fm-3m (No. 225)
Inequivalent atoms, fractional coordinates:
Ba1 0.0000 0.0000 0.0000  8 Mn 3.38
Ca1 0.0000 0.0000 0.5000  8 Mn 3.38
Mn1 0.2500 0.2500 0.2500  4 Ba 3.38, 4 Ca 3.38


Entry 2:
Compound: BaCa2Mn
Source: the Alexandria database
Functional: PBE-GGA
Structure: optimized geometry

Excess energy over the best structure of this formula in the dataset in meV/atom: 28.2

Unit cell a=3.9004 b=6.1580 c=12.5603 alpha=90.00 beta=90.00 gamma=90.00
With the nearest neighbours (Å) after each atom.
Space group Immm (No. 71)
Inequivalent atoms, fractional coordinates:
Ba1 0.0000 0.0000 0.0000  4 Mn 3.64, 2 Ba 3.90, 4 Ca 3.98
Ca1 0.0000 0.5000 0.2010  2 Mn 3.19
Mn1 0.0000 0.0000 0.5000  4 Ca 3.19


Entry 3:
Compound: BaCaMn2
Source: the Alexandria database
Functional: PBE-GGA
Structure: optimized geometry

Excess energy over the best structure of this formula in the dataset in meV/atom: 290.3

Unit cell a=7.7982 b=7.8113 c=3.8106 alpha=90.00 beta=90.00 gamma=90.00
With the nearest neighbours (Å) after each atom.
Space group Cmmm (No. 65)
Inequivalent atoms, fractional coordinates:
Ba1 0.0000 0.0000 0.0000  8 Mn 3.35
Ca1 0.0000 0.5000 0.0000  8 Mn 3.35
Mn1 0.2500 0.2500 0.5000  4 Ba 3.35, 4 Ca 3.35


Entry 4:
Compound: BaCaMn2
Source: the Alexandria database
Functional: PBE-GGA
Structure: optimized geometry

Excess energy over the best structure of this formula in the dataset in meV/atom: 229.6

Unit cell a=3.9325 b=4.0025 c=7.5736 alpha=90.00 beta=90.00 gamma=90.00
With the nearest neighbours (Å) after each atom.
Space group Pmmm (No. 47)
Inequivalent atoms, fractional coordinates:
Ba1 0.0000 0.0000 0.0000  8 Mn 3.66, 2 Ca 3.79, 4 Ba 3.93-4.00
Ca1 0.0000 0.0000 0.5000  8 Mn 3.15
Mn1 0.5000 0.5000 0.3099  1 Mn 2.88, 4 Ca 3.15


Entry 5:
Compound: BaCaMn2
Source: the Alexandria database
Functional: PBE-GGA
Structure: optimized geometry

Excess energy over the best structure of this formula in the dataset in meV/atom: 178.8

Unit cell a=3.6657 b=3.6657 c=8.9181 alpha=90.00 beta=90.00 gamma=90.00
With the nearest neighbours (Å) after each atom.
Space group P4mm (No. 99)
Inequivalent atoms, fractional coordinates:
Ba1 0.0000 0.0000 0.0000  5 Mn 3.43-3.50, 4 Ba 3.67
Ca1 0.5000 0.5000 0.3912  5 Mn 3.08-3.28
Mn1 0.0000 0.0000 0.6157  4 Mn 2.81
Mn2 0.5000 0.5000 0.7361  4 Mn 2.81, 1 Ca 3.08


Entry 6:
Compound: BaCaMn
Source: the Alexandria database
Functional: PBE-GGA
Structure: optimized geometry

Excess energy over the best structure of this formula in the dataset in meV/atom: 625.0

Unit cell a=7.9043 b=7.9043 c=7.9043 alpha=90.00 beta=90.00 gamma=90.00
With the nearest neighbours (Å) after each atom.
Space group F-43m (No. 216)
Inequivalent atoms, fractional coordinates:
Ba1 0.0000 0.0000 0.0000  4 Mn 3.42, 4 Ca 3.42
Ca1 0.2500 0.2500 0.7500  4 Ba 3.42
Mn1 0.2500 0.2500 0.2500  4 Ba 3.42


Entry 7:
Compound: BaCa2Mn
Source: the Alexandria database
Functional: PBE-GGA
Structure: optimized geometry

Excess energy over the best structure of this formula in the dataset in meV/atom: 79.3

Unit cell a=13.6254 b=4.0325 c=6.0111 alpha=90.00 beta=116.14 gamma=90.00
With the nearest neighbours (Å) after each atom.
Space group Cm (No. 8)
Inequivalent atoms, fractional coordinates:
Ba1 0.0000 0.0000 0.0000  2 Mn 3.32
Ca1 0.0919 0.5000 0.5919  2 Mn 3.10
Ca2 0.2975 0.5000 0.2982  4 Mn 3.62-3.63, 2 Ba 3.89-3.90, 4 Ca 3.91-4.03
Mn1 0.2840 0.0000 0.7860  2 Ca 3.10, 2 Ba 3.32


Entry 8:
Compound: BaCa2Mn
Source: the Alexandria database
Functional: PBE-GGA
Structure: optimized geometry

Excess energy over the best structure of this formula in the dataset in meV/atom: 112.5

Unit cell a=5.8631 b=5.8631 c=8.5145 alpha=90.00 beta=90.00 gamma=90.00
With the nearest neighbours (Å) after each atom.
Space group I-4m2 (No. 119)
Inequivalent atoms, fractional coordinates:
Ba1 0.0000 0.0000 0.0000  4 Mn 3.62, 4 Ca 3.62
Ca1 0.0000 0.0000 0.5000  4 Mn 3.62, 4 Ca 3.62
Ca2 0.0000 0.5000 0.7500  4 Ba 3.62, 4 Ca 3.62
Mn1 0.0000 0.5000 0.2500  4 Ca 3.62, 4 Ba 3.62


Entry 9:
Compound: BaCaMn2
Source: the Alexandria database
Functional: PBE-GGA
Structure: optimized geometry

Excess energy over the best structure of this formula in the dataset in meV/atom: 545.9

Unit cell a=8.5577 b=8.5577 c=6.6102 alpha=90.00 beta=90.00 gamma=90.00
With the nearest neighbours (Å) after each atom.
Space group I-42d (No. 122)
Inequivalent atoms, fractional coordinates:
Ba1 0.0000 0.0000 0.0000  4 Mn 3.21, 2 Ca 3.31
Ca1 0.0000 0.0000 0.5000  4 Mn 3.06, 2 Ba 3.31
Mn1 0.2370 0.7500 0.6250  2 Ca 3.06, 2 Ba 3.21, 2 Mn 3.31


Entry 10:
Compound: BaCaMn2
Source: the Alexandria database
Functional: PBE-GGA
Structure: optimized geometry

Excess energy over the best structure of this formula in the dataset in meV/atom: 366.2

Unit cell a=5.3955 b=5.3955 c=7.7257 alpha=90.00 beta=90.00 gamma=90.00
With the nearest neighbours (Å) after each atom.
Space group I-4m2 (No. 119)
Inequivalent atoms, fractional coordinates:
Ba1 0.0000 0.0000 0.0000  4 Mn 3.32, 4 Ca 3.32
Ca1 0.0000 0.5000 0.7500  4 Ba 3.32, 4 Mn 3.32
Mn1 0.0000 0.0000 0.5000  4 Mn 3.32, 4 Ca 3.32
Mn2 0.0000 0.5000 0.2500  4 Ba 3.32, 4 Mn 3.32


Entry 11:
Compound: BaCa2Mn
Source: the Alexandria database
Functional: PBE-GGA
Structure: optimized geometry

Excess energy over the best structure of this formula in the dataset in meV/atom: 0.0

Unit cell a=3.8818 b=3.8818 c=9.9449 alpha=90.00 beta=90.00 gamma=90.00
With the nearest neighbours (Å) after each atom.
Space group P4/mmm (No. 123)
Inequivalent atoms, fractional coordinates:
Ba1 0.0000 0.0000 0.0000  4 Ba 3.88, 8 Ca 4.23
Ca1 0.5000 0.5000 0.3232  4 Mn 3.26, 1 Ca 3.52
Mn1 0.0000 0.0000 0.5000  8 Ca 3.26


Entry 12:
Compound: BaCaMn2
Source: the Alexandria database
Functional: PBE-GGA
Structure: optimized geometry

Excess energy over the best structure of this formula in the dataset in meV/atom: 482.8

Unit cell a=3.7266 b=3.7266 c=30.2932 alpha=90.00 beta=90.00 gamma=120.00
With the nearest neighbours (Å) after each atom.
Space group R-3m (No. 166, hexagonal axes)
Inequivalent atoms, fractional coordinates:
Ba1 0.0000 0.0000 0.0000  6 Mn 3.41, 6 Ba 3.73
Ca1 0.0000 0.0000 0.5000  6 Mn 3.22
Mn1 0.0000 0.0000 0.2458  3 Ca 3.22, 3 Ba 3.41